(1)
Below is an optimized crystal structure of MgSc2Co, with properties calculated at the PBE-GGA level.

DFT formation energy   -0.036 eV/atom

Cell: 3.4127 3.4127 25.4590 Å, 90.00 90.00 120.00°
Element x y z (fractional)
Mg 0.0000 0.0000 0.0000
Mg 0.3333 0.6667 0.6667
Mg 0.6667 0.3333 0.3333
Sc 0.0000 0.0000 0.2278
Sc 0.0000 0.0000 0.4400
Sc 0.3333 0.6667 0.1067
Sc 0.3333 0.6667 0.8945
Sc 0.6667 0.3333 0.5611
Sc 0.6667 0.3333 0.7733
Co 0.0000 0.0000 0.8344
Co 0.3333 0.6667 0.5010
Co 0.6667 0.3333 0.1677



(2)
Below is an optimized crystal structure of Dy12AgRh6, with properties calculated at the PBE-GGA level.

DFT formation energy   -0.564 eV/atom

Cell: 8.5321 8.5321 8.5321 Å, 109.47 109.47 109.47°
Element x y z (fractional)
Dy 0.1119 0.8114 0.3005
Dy 0.1886 0.3005 0.4891
Dy 0.1886 0.6995 0.8881
Dy 0.3005 0.1119 0.8114
Dy 0.3005 0.4891 0.1886
Dy 0.4891 0.1886 0.3005
Dy 0.5109 0.8114 0.6995
Dy 0.6995 0.5109 0.8114
Dy 0.6995 0.8881 0.1886
Dy 0.8114 0.3005 0.1119
Dy 0.8114 0.6995 0.5109
Dy 0.8881 0.1886 0.6995
Ag 0.0000 0.0000 0.0000
Rh 0.1321 0.6321 0.5000
Rh 0.3679 0.5000 0.8679
Rh 0.5000 0.1321 0.6321
Rh 0.5000 0.8679 0.3679
Rh 0.6321 0.5000 0.1321
Rh 0.8679 0.3679 0.5000



(3)
Below is an optimized crystal structure of AsOs2Se, with properties calculated at the PBE-GGA level.

Energy   -55.652 eV for the cell shown

Cell: 2.9459 4.4953 9.4850 Å, 90.00 90.00 90.00°
Element x y z (fractional)
As 0.0000 0.0000 0.0000
As 0.5000 0.5000 0.5000
Os 0.0000 0.0000 0.4909
Os 0.0000 0.5000 0.7293
Os 0.5000 0.0000 0.2293
Os 0.5000 0.5000 0.9909
Se 0.0000 0.5000 0.2188
Se 0.5000 0.0000 0.7188